No. 1
Material: Si2HgAs
Method: DFT, PBE
State: optimized geometry

The structure in POSCAR format:
```
Si2HgAs
1.0
0.0000 3.3705 3.3705
3.3705 0.0000 3.3705
3.3705 3.3705 0.0000
Si Hg As
2 1 1
direct
0.2500 0.2500 0.2500
0.7500 0.7500 0.7500
0.0000 0.0000 0.0000
0.5000 0.5000 0.5000
```

Properties
- Symmetry: Fm-3m (225)
- Formation energy (no corrections): 0.65 eV per atom
- V: 76.6 Å³/f.u.
- Total magnetic moment: 0.000 μB per atom

---

No. 2
Material: Si2HgAs
Method: DFT, PBE
State: optimized geometry

The structure in POSCAR format:
```
Si2HgAs
1.0
1.6914 -2.2910 0.0000
1.6914 2.2910 0.0000
0.0000 0.0000 10.2944
Si Hg As
2 1 1
direct
0.0000 0.0000 0.0000
0.5000 0.5000 0.1836
0.5000 0.5000 0.7031
0.0000 0.0000 0.3886
```

Properties
- Symmetry: Cmm2 (35)
- Formation energy (no corrections): 0.48 eV per atom
- V: 79.8 Å³/f.u.
- Total magnetic moment: 0.000 μB per atom

---

No. 3
Material: Si2HgAs
Method: DFT, PBE
State: optimized geometry

The structure in POSCAR format:
```
Si2HgAs
1.0
5.1855 0.0000 0.0000
0.0000 5.1855 0.0000
0.0000 0.0000 2.8328
Si Hg As
2 1 1
direct
0.0000 0.5000 0.0000
0.5000 0.0000 0.0000
0.0000 0.0000 0.5000
0.5000 0.5000 0.5000
```

Properties
- Symmetry: P4/mmm (123)
- Formation energy (no corrections): 0.59 eV per atom
- V: 76.2 Å³/f.u.
- Total magnetic moment: 0.000 μB per atom

---

No. 4
Material: SiHgAs
Method: DFT, PBE
State: optimized geometry

The structure in POSCAR format:
```
SiHgAs
1.0
-1.7541 1.7541 5.7705
1.7541 -1.7541 5.7705
1.7541 1.7541 -5.7705
Si Hg As
1 1 1
direct
0.0000 0.0000 0.0000
0.7809 0.7809 0.0000
0.5511 0.5511 0.0000
```

Properties
- Symmetry: I4mm (107)
- Formation energy (no corrections): 0.18 eV per atom
- V: 71.0 Å³/f.u.
- Total magnetic moment: 0.000 μB per atom

---

No. 5
Material: Si2HgAs
Method: DFT, PBE
State: optimized geometry

The structure in POSCAR format:
```
Si2HgAs
1.0
1.4749 0.8515 10.2450
-1.4749 0.8515 10.2450
0.0000 -1.7031 10.2450
Si Hg As
2 1 1
direct
0.2397 0.2397 0.2397
0.7603 0.7603 0.7603
0.0000 0.0000 0.0000
0.5000 0.5000 0.5000
```

Properties
- Symmetry: R-3m (166)
- Formation energy (no corrections): 0.57 eV per atom
- V: 77.2 Å³/f.u.
- Total magnetic moment: 0.000 μB per atom

---

No. 6
Material: Si2HgAs
Method: DFT, PBE
State: optimized geometry

The structure in POSCAR format:
```
Si2HgAs
1.0
5.5808 -1.4120 0.0000
5.5808 1.4120 0.0000
-2.4648 0.0000 5.3705
Si Hg As
2 1 1
direct
0.2469 0.2469 0.1708
0.7531 0.7531 0.8292
0.5000 0.5000 0.5000
0.0000 0.0000 0.0000
```

Properties
- Symmetry: C2/m (12)
- Formation energy (no corrections): 0.39 eV per atom
- V: 84.6 Å³/f.u.
- Total magnetic moment: 0.000 μB per atom

---

No. 7
Material: Si2HgAs
Method: DFT, PBE
State: optimized geometry

The structure in POSCAR format:
```
Si2HgAs
1.0
3.2799 0.0000 0.0000
0.0000 3.2799 0.0000
0.0000 0.0000 8.0698
Si Hg As
2 1 1
direct
0.0000 0.0000 0.0000
0.5000 0.5000 0.1434
0.5000 0.5000 0.6778
0.0000 0.0000 0.3117
```

Properties
- Symmetry: P4mm (99)
- Formation energy (no corrections): 0.35 eV per atom
- V: 86.8 Å³/f.u.
- Total magnetic moment: 0.000 μB per atom

---

No. 8
Material: Si2HgAs
Method: DFT, PBE
State: optimized geometry

The structure in POSCAR format:
```
Si2HgAs
1.0
-2.9407 2.9407 5.6060
2.9407 -2.9407 5.6060
2.9407 2.9407 -5.6060
Si Hg As
4 2 2
direct
0.1089 0.6250 0.9839
0.3750 0.3589 0.4839
0.6411 0.1250 0.0161
0.8750 0.8911 0.5161
0.2500 0.7500 0.5000
0.5000 0.5000 0.0000
0.0000 0.0000 0.0000
0.7500 0.2500 0.5000
```

Properties
- Symmetry: I-42d (122)
- Formation energy (no corrections): 0.30 eV per atom
- V: 97.0 Å³/f.u.
- Total magnetic moment: 0.000 μB per atom